# GGA-PBE TaGeAu, relaxed
data_TaGeAu
_chemical_formula_sum 'Ta2 Ge2 Au2'
_symmetry_space_group_name_H-M 'P 1'
_symmetry_Int_Tables_number 1
_cell_length_a 3.7533
_cell_length_b 8.8381
_cell_length_c 3.2422
_cell_angle_alpha 90.00
_cell_angle_beta 90.00
_cell_angle_gamma 90.00
loop_
_symmetry_equiv_pos_as_xyz
'x,y,z'
loop_
_atom_site_label
_atom_site_fract_x
_atom_site_fract_y
_atom_site_fract_z
_atom_site_occupancy
Ta1 0.0000 0.9014 0.0000 1
Ta2 0.5000 0.0986 0.5000 1
Au1 0.5000 0.4109 0.0000 1
Au2 0.0000 0.5891 0.5000 1
Ge1 0.5000 0.7878 0.5000 1
Ge2 0.0000 0.2122 0.0000 1
# - formation energy from the elements (meV/atom) = -86
# - total DFT energy (no corrections) (eV/atom) = -6.669
# - space-group type = Pmmn, No. 59
# - D(E_F) (states/eV per atom) = 0.4370



# GGA-PBE MgAlCu2, relaxed
data_MgAlCu2
_chemical_formula_sum 'Mg4 Al4 Cu8'
_symmetry_space_group_name_H-M 'P 1'
_symmetry_Int_Tables_number 1
_cell_length_a 5.9622
_cell_length_b 4.9956
_cell_length_c 9.9020
_cell_angle_alpha 90.00
_cell_angle_beta 90.00
_cell_angle_gamma 90.00
loop_
_symmetry_equiv_pos_as_xyz
'x,y,z'
loop_
_atom_site_label
_atom_site_fract_x
_atom_site_fract_y
_atom_site_fract_z
_atom_site_occupancy
Al1 0.0000 0.7500 0.7424 1
Al2 0.0000 0.2500 0.2576 1
Al3 0.5000 0.7500 0.6994 1
Al4 0.5000 0.2500 0.3006 1
Cu1 0.6940 0.7500 0.9138 1
Cu2 0.3060 0.7500 0.9138 1
Cu3 0.6940 0.2500 0.0862 1
Cu4 0.5000 0.0000 0.5000 1
Cu5 0.0000 0.5000 0.0000 1
Cu6 0.5000 0.5000 0.5000 1
Cu7 0.0000 0.0000 0.0000 1
Cu8 0.3060 0.2500 0.0862 1
Mg1 0.0000 0.2500 0.5817 1
Mg2 0.5000 0.2500 0.8331 1
Mg3 0.5000 0.7500 0.1669 1
Mg4 0.0000 0.7500 0.4183 1
# - formation energy from the elements (meV/atom) = 181
# - total DFT energy (no corrections) (eV/atom) = -3.201
# - space-group type = Pmma, No. 51
# - D(E_F) (states/eV per atom) = 0.5036



# GGA-PBE YAlZn, relaxed
data_YAlZn
_chemical_formula_sum 'Y2 Al2 Zn2'
_symmetry_space_group_name_H-M 'P 1'
_symmetry_Int_Tables_number 1
_cell_length_a 4.9274
_cell_length_b 4.9274
_cell_length_c 5.9695
_cell_angle_alpha 90.00
_cell_angle_beta 90.00
_cell_angle_gamma 120.00
loop_
_symmetry_equiv_pos_as_xyz
'x,y,z'
loop_
_atom_site_label
_atom_site_fract_x
_atom_site_fract_y
_atom_site_fract_z
_atom_site_occupancy
Zn1 0.0000 0.0000 0.5000 1
Zn2 0.0000 0.0000 0.0000 1
Y1 0.3333 0.6667 0.7500 1
Y2 0.6667 0.3333 0.2500 1
Al1 0.6667 0.3333 0.7500 1
Al2 0.3333 0.6667 0.2500 1
# - formation energy from the elements (meV/atom) = -227
# - total DFT energy (no corrections) (eV/atom) = -4.054
# - space-group type = P6_3/mmc, No. 194
# - D(E_F) (states/eV per atom) = 0.3202



What is the formula in the second record? MgAlCu2